<w>
This record from Alexandria via LeMat-Bulk describes an optimized crystal structure of RbBaNa2. The functional is PBE. Values from VASP.

Geometry as Quantum ESPRESSO input:
```
&SYSTEM
  ibrav = 0, nat = 4, ntyp = 3
/
ATOMIC_SPECIES
Ba 137.33 Ba.upf
Na 22.99 Na.upf
Rb 85.47 Rb.upf
CELL_PARAMETERS angstrom
-3.742 2.005 0.263
-2.367 -0.368 3.515
4.782 12.505 7.101
ATOMIC_POSITIONS crystal
Ba 0.000 0.000 0.000
Na 0.914 0.914 0.257
Na 0.086 0.086 0.743
Rb 0.500 0.500 0.500
```

Output
SG: R-3m, No. 166
total magnetic moment: 0.0000 μB per atom
ρ: 1.9 g cm⁻³
V: 234 Å³/cell


<x>
This record from Alexandria via LeMat-Bulk describes an optimized crystal structure of RbBaNa2. The functional is PBE. Values from VASP.

Geometry as Quantum ESPRESSO input:
```
&SYSTEM
  ibrav = 0, nat = 4, ntyp = 3
/
ATOMIC_SPECIES
Na 22.99 Na.upf
Ba 137.33 Ba.upf
Rb 85.47 Rb.upf
CELL_PARAMETERS angstrom
-2.212 0.050 6.411
-6.648 0.354 1.290
-3.260 -5.394 2.505
ATOMIC_POSITIONS crystal
Na 0.250 0.250 0.250
Ba 0.500 0.500 0.500
Rb 0.000 0.000 0.000
Na 0.750 0.750 0.750
```

Output
SG: Fm-3m, No. 225
total magnetic moment: 0.0000 μB per atom
ρ: 2.0 g cm⁻³
V: 221 Å³/cell


<y>
This record from Alexandria via LeMat-Bulk describes an optimized crystal structure of RbBaNa2. The functional is PBE. Values from VASP.

Geometry as Quantum ESPRESSO input:
```
&SYSTEM
  ibrav = 0, nat = 4, ntyp = 3
/
ATOMIC_SPECIES
Na 22.99 Na.upf
Rb 85.47 Rb.upf
Ba 137.33 Ba.upf
CELL_PARAMETERS angstrom
-1.135 -4.065 -1.269
2.981 -2.625 -1.911
4.204 -7.047 11.157
ATOMIC_POSITIONS crystal
Na 0.246 0.246 0.263
Rb 0.667 0.667 0.000
Na 0.088 0.088 0.737
Ba 0.500 0.500 0.500
```

Output
SG: R3m, No. 160
total magnetic moment: 0.0000 μB per atom
ρ: 1.9 g cm⁻³
V: 229 Å³/cell


<x> wins, 14 meV per atom ahead of the next structure.


<w>
This record from Alexandria via LeMat-Bulk describes an optimized crystal structure of RbBaNa3. The functional is PBE. Values from VASP.

Geometry as Quantum ESPRESSO input:
```
&SYSTEM
  ibrav = 0, nat = 5, ntyp = 3
/
ATOMIC_SPECIES
Rb 85.47 Rb.upf
Na 22.99 Na.upf
Ba 137.33 Ba.upf
CELL_PARAMETERS angstrom
-0.483 -1.089 6.527
-2.795 -5.898 -1.191
5.998 -2.836 -0.030
ATOMIC_POSITIONS crystal
Rb 0.000 0.000 0.000
Na 0.000 0.500 0.000
Na 0.000 0.000 0.500
Ba 0.500 0.500 0.500
Na 0.500 0.000 0.000
```

Output
SG: Pm-3m, No. 221
total magnetic moment: 0.0000 μB per atom
ρ: 1.7 g cm⁻³
V: 292 Å³/cell


<x>
This record from Alexandria via LeMat-Bulk describes an optimized crystal structure of RbBaNa3. The functional is PBE. Values from VASP.

Geometry as Quantum ESPRESSO input:
```
&SYSTEM
  ibrav = 0, nat = 10, ntyp = 3
/
ATOMIC_SPECIES
Na 22.99 Na.upf
Rb 85.47 Rb.upf
Ba 137.33 Ba.upf
CELL_PARAMETERS angstrom
1.164 3.172 7.062
-4.621 -1.994 5.996
5.015 -6.989 6.652
ATOMIC_POSITIONS crystal
Na 0.126 0.607 0.142
Rb 0.574 0.574 0.278
Na 0.393 0.874 0.858
Na 0.607 0.126 0.142
Na 0.874 0.393 0.858
Na 0.874 0.874 0.858
Ba 0.836 0.836 0.492
Na 0.126 0.126 0.142
Ba 0.164 0.164 0.508
Rb 0.426 0.426 0.722
```

Output
SG: R-3m, No. 166
total magnetic moment: 0.0000 μB per atom
ρ: 1.8 g cm⁻³
V: 525 Å³/cell


<x> wins, 265 meV per atom ahead of the next structure.


<w>
This record from Alexandria via LeMat-Bulk describes an optimized crystal structure of RbBa2NaTl. The functional is PBE. Values from VASP.

Geometry as Quantum ESPRESSO input:
```
&SYSTEM
  ibrav = 0, nat = 5, ntyp = 4
/
ATOMIC_SPECIES
Na 22.99 Na.upf
Rb 85.47 Rb.upf
Tl 204.38 Tl.upf
Ba 137.33 Ba.upf
CELL_PARAMETERS angstrom
-0.397 2.289 -6.455
3.182 -5.664 -2.205
-5.626 -2.895 -0.680
ATOMIC_POSITIONS crystal
Na 0.000 0.000 0.500
Rb 0.500 0.500 0.500
Tl 0.000 0.000 0.000
Ba 0.500 0.000 0.000
Ba 0.000 0.500 0.000
```

Output
SG: P4/mmm, No. 123
total magnetic moment: 0.0000 μB per atom
ρ: 3.3 g cm⁻³
V: 300 Å³/cell


<x>
This record from Alexandria via LeMat-Bulk describes an optimized crystal structure of RbBa2NaTl. The functional is PBE. Values from VASP.

Geometry as Quantum ESPRESSO input:
```
&SYSTEM
  ibrav = 0, nat = 5, ntyp = 4
/
ATOMIC_SPECIES
Ba 137.33 Ba.upf
Rb 85.47 Rb.upf
Na 22.99 Na.upf
Tl 204.38 Tl.upf
CELL_PARAMETERS angstrom
-1.233 -6.589 0.988
-0.840 -0.843 -6.670
6.992 -1.414 -0.702
ATOMIC_POSITIONS crystal
Ba 0.000 0.500 0.000
Rb 0.000 0.000 0.500
Ba 0.500 0.000 0.000
Na 0.500 0.500 0.500
Tl 0.000 0.000 0.000
```

Output
SG: P4/mmm, No. 123
total magnetic moment: 0.0000 μB per atom
ρ: 3.0 g cm⁻³
V: 329 Å³/cell


<w> wins, 43 meV per atom ahead of the next structure.


<w>
This record from Alexandria via LeMat-Bulk describes an optimized crystal structure of RbBa2NaZn. The functional is PBE. Values from VASP.

Geometry as Quantum ESPRESSO input:
```
&SYSTEM
  ibrav = 0, nat = 5, ntyp = 4
/
ATOMIC_SPECIES
Ba 137.33 Ba.upf
Na 22.99 Na.upf
Zn 65.41 Zn.upf
Rb 85.47 Rb.upf
CELL_PARAMETERS angstrom
6.540 0.000 0.000
0.000 6.540 0.000
0.000 0.000 6.902
ATOMIC_POSITIONS crystal
Ba 0.000 0.500 0.000
Na 0.500 0.500 0.500
Zn 0.000 0.000 0.000
Ba 0.500 0.000 0.000
Rb 0.000 0.000 0.500
```

Output
SG: P4/mmm, No. 123
total magnetic moment: 0.0000 μB per atom
ρ: 2.5 g cm⁻³
V: 295 Å³/cell


<x>
This record from Alexandria via LeMat-Bulk describes an optimized crystal structure of RbBa2NaZn. The functional is PBE. Values from VASP.

Geometry as Quantum ESPRESSO input:
```
&SYSTEM
  ibrav = 0, nat = 5, ntyp = 4
/
ATOMIC_SPECIES
Rb 85.47 Rb.upf
Na 22.99 Na.upf
Ba 137.33 Ba.upf
Zn 65.41 Zn.upf
CELL_PARAMETERS angstrom
-4.412 -4.022 -2.900
-2.813 -1.167 5.898
-3.852 4.857 -0.876
ATOMIC_POSITIONS crystal
Rb 0.500 0.500 0.500
Na 0.000 0.000 0.500
Ba 0.500 0.000 0.000
Zn 0.000 0.000 0.000
Ba 0.000 0.500 0.000
```

Output
SG: P4/mmm, No. 123
total magnetic moment: 0.0000 μB per atom
ρ: 2.7 g cm⁻³
V: 276 Å³/cell


<x> wins, 25 meV per atom ahead of the next structure.